(1)
# PBE LaPRu, relaxed
data_LaPRu
_cell_length_a 4.565
_cell_length_b 4.565
_cell_length_c 4.565
_cell_angle_alpha 60.00
_cell_angle_beta 60.00
_cell_angle_gamma 60.00
_symmetry_space_group_name_H-M 'P 1'
_symmetry_Int_Tables_number 1
_symmetry_space_group_name_Hall 'P 1'
loop_
_atom_site_label
_atom_site_type_symbol
_atom_site_fract_x
_atom_site_fract_y
_atom_site_fract_z
P1 P 0.250 0.250 0.250
La1 La 0.500 0.500 0.500
Ru1 Ru 0.000 0.000 0.000
# Total DFT energy (no corrections) ... -6.82 eV/atom
# E_form ... -0.2849 eV/atom
# Total moment ... 0.587 μB per atom
# SG ... F-43m (216)

=====

(2)
# PBE Sr3IrW, relaxed
data_Sr3IrW
_cell_length_a 5.743
_cell_length_b 5.743
_cell_length_c 5.743
_cell_angle_alpha 90.00
_cell_angle_beta 90.00
_cell_angle_gamma 90.00
_symmetry_space_group_name_H-M 'P 1'
_symmetry_Int_Tables_number 1
_symmetry_space_group_name_Hall 'P 1'
loop_
_atom_site_label
_atom_site_type_symbol
_atom_site_fract_x
_atom_site_fract_y
_atom_site_fract_z
Sr1 Sr 0.000 0.500 0.000
Sr2 Sr 0.000 0.000 0.500
W1 W 0.500 0.500 0.500
Ir1 Ir 0.000 0.000 0.000
Sr3 Sr 0.500 0.000 0.000
# Excess energy over the best structure of this formula in the dataset ... 0 meV per atom
# Total DFT energy (no corrections) ... -4.37 eV/atom
# E_form ... 1.0048 eV/atom
# Total moment ... 0.976 μB per atom
# SG ... Pm-3m (221)

=====

(3)
# PBE TbPrAlGa, relaxed
data_TbPrAlGa
_cell_length_a 5.196
_cell_length_b 5.196
_cell_length_c 5.196
_cell_angle_alpha 60.00
_cell_angle_beta 60.00
_cell_angle_gamma 60.00
_symmetry_space_group_name_H-M 'P 1'
_symmetry_Int_Tables_number 1
_symmetry_space_group_name_Hall 'P 1'
loop_
_atom_site_label
_atom_site_type_symbol
_atom_site_fract_x
_atom_site_fract_y
_atom_site_fract_z
Al1 Al 0.000 0.000 0.000
Tb1 Tb 0.750 0.750 0.750
Pr1 Pr 0.250 0.250 0.250
Ga1 Ga 0.500 0.500 0.500
# Excess energy over the best structure of this formula in the dataset ... 27 meV per atom
# Total DFT energy (no corrections) ... -4.50 eV/atom
# E_form ... -0.4533 eV/atom
# Total moment ... 0.000 μB per atom
# SG ... F-43m (216)

=====

(4)
# PBE IrI3Br, relaxed
data_IrI3Br
_cell_length_a 7.161
_cell_length_b 6.666
_cell_length_c 8.891
_cell_angle_alpha 73.04
_cell_angle_beta 71.02
_cell_angle_gamma 101.92
_symmetry_space_group_name_H-M 'P 1'
_symmetry_Int_Tables_number 1
_symmetry_space_group_name_Hall 'P 1'
loop_
_atom_site_label
_atom_site_type_symbol
_atom_site_fract_x
_atom_site_fract_y
_atom_site_fract_z
I1 I 0.585 0.376 0.350
I2 I 0.009 0.802 0.360
Ir1 Ir 0.792 0.085 0.374
I3 I 0.271 0.052 0.876
I4 I 0.695 0.987 0.128
I5 I 0.130 0.423 0.118
I6 I 0.908 0.189 0.602
Ir2 Ir 0.927 0.720 0.104
Br1 Br 0.464 0.788 0.601
Br2 Br 0.825 0.650 0.877
# Excess energy over the best structure of this formula in the dataset ... 0 meV per atom
# Formation energy (no corrections) ... -1.539 kcal/mol of atoms
# Total DFT energy (no corrections) ... -3.10 eV/atom
# Total moment ... 0.000 μB per atom
# SG ... Cc (9)